[1]
MgSNO2: optimized geometry, GGA-PBE.

Properties
raw total energy: -3.95 eV per atom
SG: No. 123

Cell lengths 3.8318, 3.8318, 4.2161 Å; angles 90.00, 90.00, 90.00 degrees
Fractional coordinates of all 5 atoms:
Mg: 0.0000 0.0000 0.0000
S: 0.5000 0.5000 0.5000
N: 0.0000 0.0000 0.5000
O: 0.0000 0.5000 0.0000
O: 0.5000 0.0000 0.0000

---

[2]
Ni2AsAu: optimized geometry, GGA-PBE.

Properties
raw total energy: -4.69 eV per atom
SG: No. 216
ΔE_f: 17.2 kJ per mole of atoms

Cell lengths 4.3266, 4.3266, 4.3266 Å; angles 60.00, 60.00, 60.00 degrees
Fractional coordinates of all 4 atoms:
Ni: 0.0000 0.0000 0.0000
Ni: 0.2500 0.2500 0.2500
As: 0.5000 0.5000 0.5000
Au: 0.7500 0.7500 0.7500

---

[3]
Pt3Br: optimized geometry, GGA-PBE.

Properties
raw total energy: -4.38 eV per atom
SG: No. 65

Cell lengths 4.9257, 4.9257, 2.8250 Å; angles 90.00, 90.00, 90.15 degrees
Fractional coordinates of all 4 atoms:
Pt: 0.0000 0.0000 0.0000
Pt: 0.0000 0.5000 0.5000
Pt: 0.5000 0.0000 0.5000
Br: 0.5000 0.5000 0.0000

---

[4]
In2AgHg: optimized geometry, GGA-PBE.

Properties
raw total energy: -2.12 eV per atom
SG: No. 6
ΔE_f: 3.3 kJ per mole of atoms

Cell lengths 3.5227, 4.8226, 5.8256 Å; angles 90.00, 104.53, 90.00 degrees
Fractional coordinates of all 4 atoms:
In: 0.0000 0.0000 0.0000
In: 0.2787 0.5000 0.6253
Ag: 0.5490 0.5000 0.1401
Hg: 0.7093 0.0000 0.4662